# 1
Compound: ZrP2NCl11
Source: Alexandria via LeMat-Bulk
Functional: PBE
Structure: relaxed

abc: 11.020 11.020 16.783
angles: 90.00 90.00 110.21
Element x y z (fractional)
Zr 0.644 0.644 0.940
Zr 0.144 0.144 0.560
Zr 0.856 0.856 0.440
Zr 0.356 0.356 0.060
Cl 0.152 0.661 0.597
Cl 0.995 0.234 0.218
Cl 0.937 0.937 0.586
Cl 0.046 0.747 0.129
Cl 0.247 0.546 0.371
Cl 0.830 0.830 0.297
Cl 0.009 0.280 0.555
Cl 0.324 0.324 0.509
Cl 0.661 0.152 0.597
Cl 0.753 0.454 0.629
Cl 0.505 0.266 0.718
Cl 0.348 0.839 0.097
Cl 0.220 0.491 0.055
Cl 0.509 0.780 0.945
Cl 0.954 0.253 0.871
Cl 0.491 0.220 0.055
Cl 0.005 0.766 0.782
Cl 0.280 0.009 0.555
Cl 0.839 0.348 0.097
Cl 0.161 0.652 0.903
Cl 0.652 0.161 0.903
Cl 0.670 0.670 0.797
Cl 0.824 0.824 0.991
Cl 0.676 0.676 0.491
Cl 0.747 0.046 0.129
Cl 0.991 0.720 0.445
Cl 0.495 0.734 0.282
Cl 0.848 0.339 0.403
Cl 0.063 0.063 0.414
Cl 0.766 0.005 0.782
Cl 0.780 0.509 0.945
Cl 0.266 0.505 0.718
Cl 0.720 0.991 0.445
Cl 0.253 0.954 0.871
Cl 0.170 0.170 0.703
Cl 0.330 0.330 0.203
Cl 0.563 0.563 0.086
Cl 0.546 0.247 0.371
Cl 0.454 0.753 0.629
Cl 0.176 0.176 0.009
Cl 0.734 0.495 0.282
Cl 0.339 0.848 0.403
Cl 0.437 0.437 0.914
Cl 0.234 0.995 0.218
P 0.216 0.818 0.181
P 0.716 0.318 0.319
P 0.182 0.784 0.819
P 0.682 0.284 0.681
P 0.318 0.716 0.319
P 0.818 0.216 0.181
P 0.784 0.182 0.819
P 0.284 0.682 0.681
N 0.276 0.776 0.750
N 0.776 0.276 0.750
N 0.724 0.224 0.250
N 0.224 0.724 0.250

Calculated values
Total magnetic moment (μB/atom): 0.00
Symmetry: Cmce, No. 64

---

# 2
Compound: PaNCl
Source: Alexandria via LeMat-Bulk
Functional: PBE
Structure: relaxed

abc: 3.257 3.257 5.690
angles: 106.63 106.63 90.00
Each line ends with the local moment (μB).
Element x y z (fractional)
Cl 0.001 0.001 0.002  -0.01
N 0.271 0.271 0.542  -0.03
Pa 0.728 0.728 0.456  0.37

Calculated values
Total magnetic moment (μB/atom): 0.12
Symmetry: I4mm, No. 107

---

# 3
Compound: PaNCl
Source: Alexandria via LeMat-Bulk
Functional: PBE
Structure: relaxed

abc: 4.261 4.261 4.261
angles: 60.00 60.00 60.00
Each line ends with the local moment (μB).
Element x y z (fractional)
N 0.500 0.500 0.500  -0.04
Cl 0.000 0.000 0.000  -0.03
Pa 0.250 0.250 0.250  0.93

Calculated values
Total magnetic moment (μB/atom): 0.33
Symmetry: F-43m, No. 216

---

# 4
Compound: PaNCl
Source: Alexandria via LeMat-Bulk
Functional: PBE
Structure: relaxed

abc: 3.719 3.719 5.744
angles: 90.00 90.00 120.00
Each line ends with the local moment (μB).
Element x y z (fractional)
Cl 0.000 0.000 0.070  0.00
Pa 0.667 0.333 0.416  0.89
N 0.333 0.667 0.514  -0.03

Calculated values
Total magnetic moment (μB/atom): 0.35
Symmetry: P3m1, No. 156

---

# 5
Compound: PaNCl
Source: Alexandria via LeMat-Bulk
Functional: PBE
Structure: relaxed

abc: 3.381 3.450 11.197
angles: 89.86 102.76 90.00
Each line ends with the local moment (μB).
Element x y z (fractional)
Cl 0.328 0.575 0.966  -0.01
Cl 0.308 0.069 0.623  -0.01
Pa 0.662 0.071 0.422  0.51
Pa 0.975 0.574 0.166  0.51
N 0.128 0.572 0.376  -0.03
N 0.509 0.073 0.213  -0.03

Calculated values
Total magnetic moment (μB/atom): 0.18
Symmetry: P-1, No. 2

---

# 6
Compound: Pb3NCl
Source: Alexandria via LeMat-Bulk
Functional: PBE
Structure: relaxed

abc: 5.157 5.157 5.157
angles: 90.00 90.00 90.00
Element x y z (fractional)
Pb 0.000 0.500 0.000
Pb 0.500 0.000 0.000
Pb 0.000 0.000 0.500
Cl 0.500 0.500 0.500
N 0.000 0.000 0.000

Calculated values
Total magnetic moment (μB/atom): 0.00
Symmetry: Pm-3m, No. 221

---

# 7
Compound: PbN2Cl2
Source: Alexandria via LeMat-Bulk
Functional: PBE
Structure: relaxed

abc: 4.403 4.411 9.740
angles: 84.94 90.00 119.94
Element x y z (fractional)
N 0.031 0.062 0.549
N 0.969 0.938 0.451
Cl 0.353 0.706 0.848
Cl 0.647 0.294 0.152
Pb 0.000 0.000 0.000

Calculated values
Total magnetic moment (μB/atom): 0.00
Symmetry: C2/m, No. 12

---

# 8
Compound: PbNCl3
Source: Alexandria via LeMat-Bulk
Functional: PBE
Structure: relaxed

abc: 4.421 8.952 10.265
angles: 81.35 84.92 119.44
Element x y z (fractional)
Cl 0.313 0.586 0.059
Cl 0.833 0.162 0.336
Cl 0.211 0.992 0.086
Cl 0.397 0.814 0.584
Cl 0.731 0.568 0.363
Cl 0.647 0.340 0.837
N 0.146 0.588 0.671
N 0.897 0.566 0.750
Pb 0.497 0.809 0.241
Pb 0.547 0.345 0.181

Calculated values
Total magnetic moment (μB/atom): 0.00
Symmetry: P-1, No. 2

---

# 9
Compound: PbN2Cl3
Source: Alexandria via LeMat-Bulk
Functional: PBE
Structure: relaxed

abc: 5.362 8.092 10.704
angles: 100.61 104.51 90.00
Each line ends with the local moment (μB).
Element x y z (fractional)
Cl 0.908 0.455 0.816  0.01
Cl 0.500 0.750 0.000  0.00
Cl 0.092 0.045 0.184  0.01
Cl 0.908 0.955 0.816  0.01
Cl 0.500 0.250 0.000  0.00
Cl 0.092 0.545 0.184  0.01
N 0.300 0.399 0.599  1.94
N 0.700 0.601 0.401  1.94
N 0.300 0.899 0.599  1.94
N 0.700 0.101 0.401  1.94
Pb 0.999 0.750 0.000  0.00
Pb 0.001 0.250 0.000  0.00

Calculated values
Total magnetic moment (μB/atom): 1.00
Symmetry: C2/c, No. 15

---

# 10
Compound: PbNCl3
Source: Alexandria via LeMat-Bulk
Functional: PBE
Structure: relaxed

abc: 4.624 4.624 4.624
angles: 90.00 90.00 90.00
Element x y z (fractional)
Cl 0.000 0.500 0.000
Cl 0.000 0.000 0.500
Cl 0.500 0.000 0.000
N 0.000 0.000 0.000
Pb 0.500 0.500 0.500

Calculated values
Total magnetic moment (μB/atom): 0.00
Symmetry: Pm-3m, No. 221

---

The records above give, respectively, VASP energy values of -254.0; -23.7; -22.4; -24.4; -49.5; -19.5; -27.5; -39.8; -37.1; -15.5 eV per cell.
The records above give, respectively, energy relative to the elements, uncorrected values of -15.5; -4.1; -2.8; -4.7; -5.1; 1.8; -3.4; -2.3; 7.3; 2.1 eV/f.u..